(1)
## Y2Cu2Rh (PBE)

Data for a relaxed Y2Cu2Rh crystal.

Cell: 5.403 5.403 10.839 Å, 111.49 111.49 43.62°
Element x y z (fractional)
Y 0.014 0.014 0.340
Y 0.195 0.195 0.121
Y 0.805 0.805 0.879
Y 0.986 0.986 0.660
Cu 0.359 0.359 0.451
Cu 0.477 0.477 0.106
Cu 0.523 0.523 0.894
Cu 0.641 0.641 0.549
Rh 0.288 0.288 0.679
Rh 0.712 0.712 0.321

Summary:
total energy: -61.318 eV/cell
formation energy from the elements: -437.4 meV per atom
space-group type: C2/m
M_tot: 0.000 μB per formula unit


(2)
## Y3CuRh (PBE)

Data for a relaxed Y3CuRh crystal.

Cell: 5.324 5.324 5.324 Å, 90.00 90.00 90.00°
Element x y z (fractional)
Y 0.000 0.000 0.500
Y 0.000 0.500 0.000
Y 0.500 0.000 0.000
Cu 0.500 0.500 0.500
Rh 0.000 0.000 0.000

Summary:
total energy: -30.999 eV/cell
formation energy from the elements: -31.8 meV per atom
space-group type: Pm-3m
M_tot: 0.000 μB per formula unit


(3)
## Y2CuRh2 (PBE)

Data for a relaxed Y2CuRh2 crystal.

Cell: 7.083 7.083 3.966 Å, 90.00 90.00 90.00°
Element x y z (fractional)
Y 0.171 0.329 0.000
Y 0.329 0.829 0.000
Y 0.671 0.171 0.000
Y 0.829 0.671 0.000
Cu 0.000 0.000 0.500
Cu 0.500 0.500 0.500
Rh 0.137 0.637 0.500
Rh 0.363 0.137 0.500
Rh 0.637 0.863 0.500
Rh 0.863 0.363 0.500

Summary:
total energy: -69.342 eV/cell
formation energy from the elements: -588.7 meV per atom
space-group type: P4/mbm
M_tot: 0.000 μB per formula unit


(4)
## Y2Cu2Rh (PBE)

Data for a relaxed Y2Cu2Rh crystal.

Cell: 8.764 8.764 8.764 Å, 157.36 157.36 32.24°
Element x y z (fractional)
Y 0.101 0.101 0.000
Y 0.899 0.899 0.000
Cu 0.250 0.750 0.500
Cu 0.750 0.250 0.500
Rh 0.500 0.500 0.000

Summary:
total energy: -30.005 eV/cell
formation energy from the elements: -306.7 meV per atom
space-group type: I4/mmm
M_tot: 0.000 μB per formula unit


(5)
## Y6CuRh5 (PBE)

Data for a relaxed Y6CuRh5 crystal.

Cell: 7.689 7.689 6.949 Å, 90.00 90.00 143.18°
Element x y z (fractional)
Y 0.000 0.000 0.247
Y 0.000 0.000 0.753
Y 0.332 0.668 0.250
Y 0.332 0.668 0.750
Y 0.668 0.332 0.250
Y 0.668 0.332 0.750
Cu 0.500 0.500 0.500
Rh 0.165 0.835 0.500
Rh 0.167 0.833 0.000
Rh 0.500 0.500 0.000
Rh 0.833 0.167 0.000
Rh 0.835 0.165 0.500

Summary:
total energy: -88.592 eV/cell
formation energy from the elements: -746.2 meV per atom
space-group type: Cmmm
M_tot: 0.000 μB per formula unit


(6)
## Y4ZnCu2Rh (PBE)

Data for a relaxed Y4ZnCu2Rh crystal.

Cell: 8.572 8.572 8.572 Å, 33.53 33.53 33.53°
Element x y z (fractional)
Y 0.121 0.121 0.121
Y 0.372 0.372 0.372
Y 0.628 0.628 0.628
Y 0.879 0.879 0.879
Zn 0.500 0.500 0.500
Cu 0.245 0.245 0.245
Cu 0.755 0.755 0.755
Rh 0.000 0.000 0.000

Summary:
total energy: -46.190 eV/cell
formation energy from the elements: -439.5 meV per atom
space-group type: R-3m
M_tot: 0.000 μB per formula unit


(7)
## Y2Zn5Cu2Rh (PBE)

Data for a relaxed Y2Zn5Cu2Rh crystal.

Cell: 9.240 9.240 4.003 Å, 90.00 90.00 90.00°
Element x y z (fractional)
Y 0.185 0.315 0.000
Y 0.315 0.815 0.000
Y 0.685 0.185 0.000
Y 0.815 0.685 0.000
Zn 0.000 0.500 0.500
Zn 0.048 0.801 0.500
Zn 0.199 0.048 0.500
Zn 0.301 0.548 0.500
Zn 0.452 0.301 0.500
Zn 0.500 0.000 0.500
Zn 0.548 0.699 0.500
Zn 0.699 0.452 0.500
Zn 0.801 0.952 0.500
Zn 0.952 0.199 0.500
Cu 0.110 0.610 0.000
Cu 0.390 0.110 0.000
Cu 0.610 0.890 0.000
Cu 0.890 0.390 0.000
Rh 0.000 0.000 0.000
Rh 0.500 0.500 0.000

Summary:
total energy: -75.342 eV/cell
formation energy from the elements: -282.9 meV per atom
space-group type: P4/mbm
M_tot: 0.000 μB per formula unit


(8)
## YZn3CuRh (PBE)

Data for a relaxed YZn3CuRh crystal.

Cell: 6.749 6.749 5.266 Å, 90.00 90.00 107.82°
Element x y z (fractional)
Y 0.189 0.811 0.750
Y 0.811 0.189 0.250
Zn 0.248 0.248 0.000
Zn 0.248 0.248 0.500
Zn 0.326 0.674 0.250
Zn 0.674 0.326 0.750
Zn 0.752 0.752 0.000
Zn 0.752 0.752 0.500
Cu 0.447 0.553 0.750
Cu 0.553 0.447 0.250
Rh 0.092 0.908 0.250
Rh 0.908 0.092 0.750

Summary:
total energy: -45.862 eV/cell
formation energy from the elements: -199.6 meV per atom
space-group type: Cmcm
M_tot: 0.000 μB per formula unit


(9)
## Zn4Cu2Rh (PBE)

Data for a relaxed Zn4Cu2Rh crystal.

Cell: 5.145 5.145 4.055 Å, 90.00 90.00 107.43°
Element x y z (fractional)
Zn 0.000 0.500 0.500
Zn 0.211 0.211 0.000
Zn 0.500 0.000 0.500
Zn 0.789 0.789 0.000
Cu 0.275 0.725 0.000
Cu 0.725 0.275 0.000
Rh 0.500 0.500 0.500

Summary:
total energy: -21.777 eV/cell
formation energy from the elements: -162.5 meV per atom
space-group type: Cmmm
M_tot: 0.000 μB per formula unit


(10)
## Zn3Cu2Rh (PBE)

Data for a relaxed Zn3Cu2Rh crystal.

Cell: 6.260 6.260 6.821 Å, 90.00 90.00 142.95°
Element x y z (fractional)
Zn 0.000 0.000 0.245
Zn 0.000 0.000 0.755
Zn 0.331 0.669 0.250
Zn 0.331 0.669 0.750
Zn 0.669 0.331 0.250
Zn 0.669 0.331 0.750
Cu 0.164 0.836 0.000
Cu 0.500 0.500 0.000
Cu 0.500 0.500 0.500
Cu 0.836 0.164 0.000
Rh 0.159 0.841 0.500
Rh 0.841 0.159 0.500

Summary:
total energy: -41.123 eV/cell
formation energy from the elements: -199.3 meV per atom
space-group type: Cmmm
M_tot: 0.000 μB per formula unit


(11)
## Zn4CuRh (PBE)

Data for a relaxed Zn4CuRh crystal.

Cell: 4.914 4.914 4.914 Å, 60.00 60.00 60.00°
Element x y z (fractional)
Zn 0.125 0.125 0.125
Zn 0.125 0.125 0.625
Zn 0.125 0.625 0.125
Zn 0.625 0.125 0.125
Cu 0.750 0.750 0.750
Rh 0.500 0.500 0.500

Summary:
total energy: -16.841 eV/cell
formation energy from the elements: -49.7 meV per atom
space-group type: F-43m
M_tot: 0.000 μB per formula unit


(12)
## Zn5CuRh4 (PBE)

Data for a relaxed Zn5CuRh4 crystal.

Cell: 3.049 3.049 14.770 Å, 90.00 90.00 90.00°
Element x y z (fractional)
Zn 0.000 0.000 0.000
Zn 0.000 0.000 0.203
Zn 0.000 0.000 0.403
Zn 0.000 0.000 0.597
Zn 0.000 0.000 0.797
Cu 0.500 0.500 0.500
Rh 0.500 0.500 0.102
Rh 0.500 0.500 0.306
Rh 0.500 0.500 0.694
Rh 0.500 0.500 0.898

Summary:
total energy: -43.276 eV/cell
formation energy from the elements: -340.4 meV per atom
space-group type: P4/mmm
M_tot: 0.000 μB per formula unit


Among the records above, which one has the lowest formation energy from the elements? Y6CuRh5